First-principles (GGA-PBE) data for an optimized crystal structure of Ac12Tl2Ga5, as listed in Alexandria via LeMat-Bulk. Values from VASP.

Cell and atoms, written as Quantum ESPRESSO input:
```
&SYSTEM
  ibrav = 0, nat = 19, ntyp = 3
/
ATOMIC_SPECIES
Ac 227.00 Ac.upf
Tl 204.38 Tl.upf
Ga 69.72 Ga.upf
CELL_PARAMETERS angstrom
7.840 0.000 0.000
-3.920 9.132 0.298
0.000 -2.875 10.246
ATOMIC_POSITIONS crystal
Ac 0.943 0.886 0.191
Ac 0.075 0.630 0.884
Ac 0.554 0.630 0.884
Ac 0.098 0.701 0.440
Ac 0.603 0.701 0.440
Ac 0.491 0.982 0.709
Ac 0.509 0.018 0.291
Ac 0.902 0.299 0.560
Ac 0.397 0.299 0.560
Ac 0.925 0.370 0.116
Ac 0.446 0.370 0.116
Ac 0.057 0.114 0.809
Tl 0.704 0.000 0.000
Tl 0.296 0.000 0.000
Ga 0.298 0.596 0.637
Ga 0.330 0.659 0.160
Ga 0.000 0.000 0.500
Ga 0.670 0.341 0.840
Ga 0.702 0.404 0.363
```

Summary:
Total magnetic moment ... 0.000 μB per atom
DFT formation energy ... -165 meV per atom
Final energy ... -72.298 eV per formula unit
Fermi-level density of states ... 1.12 states/eV per atom


First-principles (GGA-PBE) data for an optimized crystal structure of Ac5Tl4Ga, as listed in Alexandria via LeMat-Bulk. Values from VASP.

Cell and atoms, written as Quantum ESPRESSO input:
```
&SYSTEM
  ibrav = 0, nat = 10, ntyp = 3
/
ATOMIC_SPECIES
Ac 227.00 Ac.upf
Tl 204.38 Tl.upf
Ga 69.72 Ga.upf
CELL_PARAMETERS angstrom
-1.307 -3.691 0.981
1.678 0.376 3.652
-17.885 8.291 7.363
ATOMIC_POSITIONS crystal
Ac 0.500 0.500 0.089
Ac 0.500 0.500 0.294
Ac 0.500 0.500 0.500
Ac 0.500 0.500 0.706
Ac 0.500 0.500 0.911
Tl 0.000 0.000 0.192
Tl 0.000 0.000 0.397
Tl 0.000 0.000 0.603
Tl 0.000 0.000 0.808
Ga 0.000 0.000 0.000
```

Summary:
Total magnetic moment ... 0.000 μB per atom
DFT formation energy ... -368 meV per atom
Final energy ... -36.718 eV per formula unit
Fermi-level density of states ... 0.96 states/eV per atom


First-principles (GGA-PBE) data for an optimized crystal structure of Ac3Tl2Ga, as listed in Alexandria via LeMat-Bulk. Values from VASP.

Cell and atoms, written as Quantum ESPRESSO input:
```
&SYSTEM
  ibrav = 0, nat = 12, ntyp = 3
/
ATOMIC_SPECIES
Ac 227.00 Ac.upf
Tl 204.38 Tl.upf
Ga 69.72 Ga.upf
CELL_PARAMETERS angstrom
6.905 0.000 0.000
0.000 7.036 -0.085
-3.452 -1.834 8.384
ATOMIC_POSITIONS crystal
Ac 0.642 0.250 0.000
Ac 0.358 0.750 0.000
Ac 0.276 0.103 0.333
Ac 0.944 0.397 0.667
Ac 0.056 0.603 0.333
Ac 0.724 0.897 0.667
Tl 0.547 0.539 0.326
Tl 0.779 0.039 0.326
Tl 0.221 0.961 0.674
Tl 0.453 0.461 0.674
Ga 0.859 0.750 0.000
Ga 0.141 0.250 0.000
```

Summary:
Total magnetic moment ... 0.000 μB per atom
DFT formation energy ... -316 meV per atom
Final energy ... -21.980 eV per formula unit
ΔE to the lowest computed polymorph ... 48 meV/atom
Fermi-level density of states ... 0.75 states/eV per atom


First-principles (GGA-PBE) data for an optimized crystal structure of Ac5Tl2Ga, as listed in Alexandria via LeMat-Bulk. Values from VASP.

Cell and atoms, written as Quantum ESPRESSO input:
```
&SYSTEM
  ibrav = 0, nat = 16, ntyp = 3
/
ATOMIC_SPECIES
Ac 227.00 Ac.upf
Tl 204.38 Tl.upf
Ga 69.72 Ga.upf
CELL_PARAMETERS angstrom
-4.687 -1.488 -2.533
3.836 -4.786 -4.287
-1.963 -10.190 9.620
ATOMIC_POSITIONS crystal
Ac 0.000 0.000 0.500
Ac 0.000 0.500 0.000
Ac 0.000 0.857 0.216
Ac 0.000 0.143 0.784
Ac 0.000 0.643 0.716
Ac 0.000 0.357 0.284
Ac 0.500 0.660 0.409
Ac 0.500 0.340 0.591
Ac 0.500 0.840 0.909
Ac 0.500 0.160 0.091
Tl 0.500 0.609 0.155
Tl 0.500 0.391 0.845
Tl 0.500 0.891 0.655
Tl 0.500 0.109 0.345
Ga 0.000 0.500 0.500
Ga 0.000 0.000 0.000
```

Summary:
Total magnetic moment ... 0.000 μB per atom
DFT formation energy ... -310 meV per atom
Final energy ... -30.780 eV per formula unit
Fermi-level density of states ... 0.82 states/eV per atom


First-principles (GGA-PBE) data for an optimized crystal structure of Ac4TlGa2, as listed in Alexandria via LeMat-Bulk. Values from VASP.

Cell and atoms, written as Quantum ESPRESSO input:
```
&SYSTEM
  ibrav = 0, nat = 14, ntyp = 3
/
ATOMIC_SPECIES
Ac 227.00 Ac.upf
Tl 204.38 Tl.upf
Ga 69.72 Ga.upf
CELL_PARAMETERS angstrom
-3.014 -6.474 -4.779
0.715 -2.516 8.186
-5.458 6.659 -0.463
ATOMIC_POSITIONS crystal
Ac 0.014 0.267 0.401
Ac 0.383 0.482 0.246
Ac 0.866 0.614 0.599
Ac 0.732 0.133 0.746
Ac 0.387 0.987 0.254
Ac 0.237 0.137 0.754
Ac 0.517 0.764 0.901
Ac 0.863 0.616 0.099
Tl 0.250 0.750 0.500
Tl 0.000 0.000 0.000
Ga 0.494 0.375 0.619
Ga 0.756 0.875 0.381
Ga 0.625 0.244 0.119
Ga 0.124 0.506 0.881
```

Summary:
Total magnetic moment ... 0.000 μB per atom
DFT formation energy ... -323 meV per atom
Final energy ... -27.112 eV per formula unit
Fermi-level density of states ... 1.20 states/eV per atom


First-principles (GGA-PBE) data for an optimized crystal structure of Ac6Tl5Ga, as listed in Alexandria via LeMat-Bulk. Values from VASP.

Cell and atoms, written as Quantum ESPRESSO input:
```
&SYSTEM
  ibrav = 0, nat = 12, ntyp = 3
/
ATOMIC_SPECIES
Ac 227.00 Ac.upf
Tl 204.38 Tl.upf
Ga 69.72 Ga.upf
CELL_PARAMETERS angstrom
5.517 -0.033 1.845
0.044 8.186 0.015
0.013 -0.017 9.190
ATOMIC_POSITIONS crystal
Ac 0.838 0.754 0.324
Ac 0.838 0.246 0.324
Ac 0.500 0.241 0.000
Ac 0.500 0.759 0.000
Ac 0.162 0.754 0.676
Ac 0.162 0.246 0.676
Tl 0.668 0.500 0.664
Tl 0.330 0.000 0.339
Tl 0.000 0.500 0.000
Tl 0.670 0.000 0.661
Tl 0.332 0.500 0.336
Ga 0.000 0.000 0.000
```

Summary:
Total magnetic moment ... 0.000 μB per atom
DFT formation energy ... -362 meV per atom
Final energy ... -43.849 eV per formula unit
ΔE to the lowest computed polymorph ... 0 meV/atom
Fermi-level density of states ... 1.03 states/eV per atom


First-principles (GGA-PBE) data for an optimized crystal structure of Ac4TlGa, as listed in Alexandria via LeMat-Bulk. Values from VASP.

Cell and atoms, written as Quantum ESPRESSO input:
```
&SYSTEM
  ibrav = 0, nat = 6, ntyp = 3
/
ATOMIC_SPECIES
Ac 227.00 Ac.upf
Tl 204.38 Tl.upf
Ga 69.72 Ga.upf
CELL_PARAMETERS angstrom
5.519 0.000 -0.001
0.000 5.519 -0.002
0.004 0.007 7.889
ATOMIC_POSITIONS crystal
Ac 0.501 0.997 0.263
Ac 0.501 0.998 0.733
Ac 0.001 0.497 0.733
Ac 0.001 0.497 0.263
Tl 0.501 0.497 0.998
Ga 0.001 0.997 0.498
```

Summary:
Total magnetic moment ... 0.001 μB per atom
DFT formation energy ... -143 meV per atom
Final energy ... -22.686 eV per formula unit
ΔE to the lowest computed polymorph ... 103 meV/atom
Fermi-level density of states ... 1.42 states/eV per atom


First-principles (GGA-PBE) data for an optimized crystal structure of Ac4Tl3Ga, as listed in Alexandria via LeMat-Bulk. Values from VASP.

Cell and atoms, written as Quantum ESPRESSO input:
```
&SYSTEM
  ibrav = 0, nat = 8, ntyp = 3
/
ATOMIC_SPECIES
Ac 227.00 Ac.upf
Tl 204.38 Tl.upf
Ga 69.72 Ga.upf
CELL_PARAMETERS angstrom
-0.320 0.580 4.913
1.757 -4.272 0.619
11.379 4.707 0.186
ATOMIC_POSITIONS crystal
Ac 0.500 0.500 0.351
Ac 0.000 0.500 0.871
Ac 0.000 0.000 0.135
Ac 0.500 0.000 0.639
Tl 0.000 0.500 0.585
Tl 0.000 0.000 0.417
Tl 0.500 0.000 0.927
Ga 0.500 0.500 0.076
```

Summary:
Total magnetic moment ... 0.001 μB per atom
DFT formation energy ... -370 meV per atom
Final energy ... -29.516 eV per formula unit
Fermi-level density of states ... 1.08 states/eV per atom